Record 1
Here is a relaxed ScP2Se2 crystal from Alexandria. Energies are from PBE.

Cell lengths 5.183, 5.183, 5.183 Å; angles 118.99, 118.99, 91.76 degrees
Element x y z (fractional)
Sc  0.000  0.000  0.000
P  0.360  0.360  0.000
P  0.640  0.640  0.000
Se  0.250  0.750  0.500
Se  0.750  0.250  0.500

Computed properties:
energy relative to the elements, uncorrected: -0.5 eV/f.u.



Record 2
Here is a relaxed LaTh2WN5 crystal from Alexandria. Energies are from PBE.

Cell lengths 6.899, 6.899, 5.939 Å; angles 90.00, 90.00, 90.00 degrees
Element x y z (fractional)
La  0.000  0.000  0.000
La  0.500  0.500  0.000
Th  0.172  0.328  0.500
Th  0.328  0.828  0.500
Th  0.672  0.172  0.500
Th  0.828  0.672  0.500
W  0.000  0.500  0.000
W  0.500  0.000  0.000
N  0.000  0.000  0.500
N  0.142  0.642  0.236
N  0.142  0.642  0.764
N  0.358  0.142  0.236
N  0.358  0.142  0.764
N  0.500  0.500  0.500
N  0.642  0.858  0.236
N  0.642  0.858  0.764
N  0.858  0.358  0.236
N  0.858  0.358  0.764

Computed properties:
energy relative to the elements, uncorrected: -10.6 eV/f.u.



The highest energy relative to the elements, uncorrected belongs to which entry?
ScP2Se2



Among the records above, which one has the lowest energy relative to the elements, uncorrected?
LaTh2WN5



Look up the energy relative to the elements, uncorrected of the first one.
-0.5 eV/f.u.